[1]
Material: InFePb2
Method: DFT, PBE
State: optimized geometry

## Properties
- Symmetry: Immm, No. 71
- Energy of formation from the pure elements: 1.10 eV per formula unit

a b c (Å): 7.5847 7.5847 7.5847
angles (deg): 156.13 144.65 43.11
Last column: nearest neighbours and their distance in Å.
Fractional coordinates of all 4 atoms:
Pb: 0.4236 0.4236 0.0000  2 Fe 2.91, 2 Pb 3.14
Pb: 0.0764 0.0764 0.0000  2 Fe 2.91, 2 Pb 3.14
Fe: 0.2500 0.7500 0.5000  4 In 2.79, 4 Pb 2.91
In: 0.7500 0.2500 0.5000  4 Fe 2.79

[2]
Material: Zn3P
Method: DFT, PBE
State: optimized geometry

## Properties
- Symmetry: Pmmm, No. 47
- Energy of formation from the pure elements: 0.76 eV per formula unit

a b c (Å): 2.8188 3.8801 5.6334
angles (deg): 90.00 90.00 90.00
Last column: nearest neighbours and their distance in Å.
Fractional coordinates of all 4 atoms:
P: 0.0000 0.0000 0.0000  10 Zn 2.78-2.82, 2 P 2.82
Zn: 0.0000 0.0000 0.5000  10 Zn 2.78-2.82, 2 P 2.82
Zn: 0.5000 0.5000 0.7502  4 P 2.78, 8 Zn 2.78-2.82
Zn: 0.5000 0.5000 0.2498  4 P 2.78, 8 Zn 2.78-2.82

[3]
Material: BaNi2Hg
Method: DFT, PBE
State: optimized geometry

## Properties
- Symmetry: I4_1/amd, No. 141
- Energy of formation from the pure elements: 0.35 eV per formula unit

a b c (Å): 4.8545 4.8545 9.5366
angles (deg): 75.25 75.25 90.00
Last column: nearest neighbours and their distance in Å.
Fractional coordinates of all 8 atoms:
Ni: 0.8750 0.1254 0.7500  2 Ni 2.43, 2 Hg 2.53
Ni: 0.8746 0.6250 0.2500  2 Ni 2.43, 2 Hg 2.53
Ba: 0.2500 0.7500 0.5000  4 Hg 3.43, 8 Ni 3.51
Hg: 0.7500 0.2500 0.5000  4 Ni 2.53
Ni: 0.3750 0.1246 0.7500  2 Ni 2.43, 2 Hg 2.53
Ba: 0.5000 0.5000 0.0000  4 Hg 3.43, 8 Ni 3.51
Hg: 0.0000 0.0000 0.0000  4 Ni 2.53
Ni: 0.8754 0.1250 0.2500  2 Ni 2.43, 2 Hg 2.53

[4]
Material: Cs3Nd3MnS8
Method: DFT, PBE
State: optimized geometry

## Properties
- Symmetry: R-3m, No. 166
- Formation energy (no corrections): -1470.4 meV/atom

a b c (Å): 8.1487 8.1501 9.4741
angles (deg): 115.50 90.00 120.00
Last column: nearest neighbours and their distance in Å.
Fractional coordinates of all 15 atoms:
S: 0.2014 0.9669 0.6682  1 Mn 2.47
S: 0.7297 0.4594 0.6890  3 Nd 2.82
Cs: 0.0000 0.5000 0.0000  6 S 3.47-3.52
Nd: 0.5000 0.5000 0.5000  6 S 2.82-2.87
Nd: 0.5000 0.0000 0.5000  6 S 2.82-2.87
S: 0.7986 0.0331 0.3318  1 Mn 2.47
S: 0.2014 0.4029 0.6682  1 Mn 2.47
S: 0.2346 0.0331 0.3318  1 Mn 2.47
S: 0.2703 0.5406 0.3110  3 Nd 2.82
S: 0.7986 0.5971 0.3318  1 Mn 2.47
Cs: 0.0000 0.0000 0.0000  6 S 3.47-3.52
Cs: 0.5000 0.5000 0.0000  6 S 3.47-3.52
Nd: 0.0000 0.5000 0.5000  6 S 2.82-2.87
S: 0.7654 0.9669 0.6682  1 Mn 2.47
Mn: 0.0000 0.0000 0.5000  6 S 2.47

[5]
Material: LiMgP2
Method: DFT, PBE
State: optimized geometry

## Properties
- Symmetry: Cm, No. 8
- Energy of formation from the pure elements: -1.63 eV per formula unit

a b c (Å): 5.2823 5.2823 4.1346
angles (deg): 107.17 107.17 38.18
Last column: nearest neighbours and their distance in Å.
Fractional coordinates of all 4 atoms:
P: 0.7791 0.7791 0.6597  1 P 2.16
Mg: 0.2424 0.2424 0.1178  7 P 2.67-2.89, 1 Li 2.84
Li: 0.5084 0.5084 0.6360  7 P 2.65-2.89, 1 Mg 2.84
P: 0.9701 0.9701 0.0865  1 P 2.16

[6]
Material: Y2GeCl8
Method: DFT, PBE
State: optimized geometry

## Properties
- Symmetry: C2/m, No. 12
- Formation energy (no corrections): -1828.1 meV/atom

a b c (Å): 3.8408 7.8711 10.9699
angles (deg): 79.60 100.08 90.00
Last column: nearest neighbours and their distance in Å.
Fractional coordinates of all 11 atoms:
Cl: 0.3814 0.5241 0.7628  2 Y 2.65
Y: 0.1577 0.6636 0.3153  8 Cl 2.65-2.96
Cl: 0.0202 0.7602 0.0405  2 Ge 2.67, 1 Y 2.93
Y: 0.8423 0.3364 0.6847  8 Cl 2.65-2.96
Cl: 0.6186 0.4759 0.2372  2 Y 2.65
Cl: 0.6274 0.9321 0.2548  1 Ge 2.71, 2 Y 2.84
Cl: 0.9798 0.2398 0.9595  2 Ge 2.67, 1 Y 2.93
Cl: 0.7524 0.6692 0.5048  3 Y 2.81-2.96, 1 Cl 3.09
Cl: 0.2476 0.3308 0.4952  3 Y 2.81-2.96, 1 Cl 3.09
Ge: 0.5000 0.0000 0.0000  6 Cl 2.67-2.71
Cl: 0.3726 0.0679 0.7452  1 Ge 2.71, 2 Y 2.84